Record 1
Density functional theory data (PBEsol) for crystalline Ba2SrLi at its relaxed geometry.

Output
**M_tot**: 0.000 μB/atom
**Energy above the most stable polymorph in this dataset**: 2.8 kJ/mol of atoms
**Formation enthalpy at 0 K**: 0.2 eV per formula unit
**Electronic total energy**: -15.8 eV for the cell shown

abc: 4.452 6.552 12.933
angles: 90.00 90.00 90.00
Space group Immm (No. 71)
Inequivalent atoms, fractional coordinates:
Ba 0.000 0.000 0.218 (multiplicity 4)
Sr 0.000 0.500 0.000 (multiplicity 2)
Li 0.000 0.500 0.500 (multiplicity 2)


Record 2
Density functional theory data (PBEsol) for crystalline Ba2SrLi at its relaxed geometry.

Output
**M_tot**: 0.000 μB/atom
**Energy above the most stable polymorph in this dataset**: 8.4 kJ/mol of atoms
**Formation enthalpy at 0 K**: 0.5 eV per formula unit
**Electronic total energy**: -30.6 eV for the cell shown

abc: 9.292 9.292 9.292
angles: 90.00 90.00 90.00
Space group Fm-3m (No. 225)
Inequivalent atoms, fractional coordinates:
Ba 0.250 0.250 0.250 (multiplicity 8)
Sr 0.000 0.000 0.000 (multiplicity 4)
Li 0.000 0.000 0.500 (multiplicity 4)


Record 3
Density functional theory data (PBEsol) for crystalline BaSrLi4 at its relaxed geometry.

Output
**M_tot**: 0.000 μB/atom
**Formation enthalpy at 0 K**: 0.1 eV per formula unit
**Electronic total energy**: -47.2 eV for the cell shown

abc: 9.151 9.151 9.151
angles: 90.00 90.00 90.00
Space group F-43m (No. 216)
Inequivalent atoms, fractional coordinates:
Ba 0.000 0.000 0.000 (multiplicity 4)
Sr 0.250 0.250 0.250 (multiplicity 4)
Li 0.123 0.123 0.623 (multiplicity 16)


Record 4
Density functional theory data (PBEsol) for crystalline BaSrLi at its relaxed geometry.

Output
**M_tot**: 0.000 μB/atom
**Energy above the most stable polymorph in this dataset**: 15.7 kJ/mol of atoms
**Formation enthalpy at 0 K**: 0.6 eV per formula unit
**Electronic total energy**: -21.5 eV for the cell shown

abc: 8.385 8.385 8.385
angles: 90.00 90.00 90.00
Space group F-43m (No. 216)
Inequivalent atoms, fractional coordinates:
Ba 0.000 0.000 0.000 (multiplicity 4)
Sr 0.000 0.000 0.500 (multiplicity 4)
Li 0.250 0.250 0.750 (multiplicity 4)


Record 5
Density functional theory data (PBEsol) for crystalline BaSrLi2 at its relaxed geometry.

Output
**M_tot**: 0.000 μB/atom
**Energy above the most stable polymorph in this dataset**: 12.8 kJ/mol of atoms
**Formation enthalpy at 0 K**: 0.7 eV per formula unit
**Electronic total energy**: -7.3 eV for the cell shown

abc: 6.177 4.021 7.051
angles: 90.00 112.57 90.00
Space group P2/m (No. 10)
Inequivalent atoms, fractional coordinates:
Ba 0.000 0.000 0.000 (multiplicity 1)
Sr 0.000 0.500 0.500 (multiplicity 1)
Li 0.500 0.000 0.500 (multiplicity 1)
Li 0.500 0.500 0.000 (multiplicity 1)


Record 6
Density functional theory data (PBEsol) for crystalline BaSrLi at its relaxed geometry.

Output
**M_tot**: 0.000 μB/atom
**Energy above the most stable polymorph in this dataset**: 0.0 kJ/mol of atoms
**Formation enthalpy at 0 K**: 0.1 eV per formula unit
**Electronic total energy**: -11.7 eV for the cell shown

abc: 4.294 4.294 14.393
angles: 90.00 90.00 90.00
Space group I4mm (No. 107)
Inequivalent atoms, fractional coordinates:
Ba 0.000 0.000 0.000 (multiplicity 2)
Sr 0.000 0.000 0.714 (multiplicity 2)
Li 0.000 0.000 0.348 (multiplicity 2)